A relaxed LiCrCu2Bi crystal, computed with GGA-PBE.

Energy of formation ... 4.02 eV per formula unit
Mass density ... 6.44 g/cm3
SG ... P4/mmm (123)

```
LiCrCu2Bi
1.0
-3.811 2.707 0.370
-2.665 -3.823 0.521
0.594 0.210 4.585
Cu Cr Li Bi
2 1 1 1
Direct
0.500 0.000 0.000
0.000 0.500 0.000
0.000 0.000 0.000
0.000 0.000 0.500
0.500 0.500 0.500
```